Record 1
Here is a geometry-optimized MnTlPb2 structure from Alexandria via LeMat-Bulk. Energies are from PBE.

Output
Mass density ... 10.21 g/cm3
ΔE to the lowest computed polymorph ... 0.080 eV/atom
Calculated formation energy ... 6.89 kcal/mol of atoms
Total moment ... 0.942 μB per atom

abc: 7.3286 7.3286 7.3286
angles: 153.98 140.46 47.95
With the nearest neighbours (Å) after each atom.
Element x y z (fractional)
Mn (0.2500, 0.7500, 0.5000)  4 Tl 2.98, 4 Pb 3.03, 2 Mn 3.30
Pb (0.0605, 0.0605, 0.0000)  2 Mn 3.03, 6 Pb 3.30-3.39
Pb (0.4395, 0.4395, 0.0000)  2 Mn 3.03, 6 Pb 3.30-3.39
Tl (0.7500, 0.2500, 0.5000)  4 Mn 2.98, 2 Tl 3.30

Record 2
Here is a geometry-optimized MnTl2Pb structure from Alexandria via LeMat-Bulk. Energies are from PBE.

Output
Mass density ... 10.58 g/cm3
ΔE to the lowest computed polymorph ... 0.120 eV/atom
Calculated formation energy ... 8.82 kcal/mol of atoms
Total moment ... 1.055 μB per atom

abc: 5.7688 5.7688 5.7688
angles: 131.56 131.56 70.92
With the nearest neighbours (Å) after each atom.
Element x y z (fractional)
Mn (0.5000, 0.5000, 0.0000)  4 Pb 3.33, 8 Tl 3.33-3.35
Pb (0.7500, 0.2500, 0.5000)  8 Tl 3.33-3.35, 4 Mn 3.33
Tl (0.0000, 0.0000, 0.0000)  4 Tl 3.33, 4 Pb 3.33, 4 Mn 3.35
Tl (0.2500, 0.7500, 0.5000)  4 Tl 3.33, 4 Mn 3.33, 4 Pb 3.35

Record 3
Here is a geometry-optimized MnTlPb2 structure from Alexandria via LeMat-Bulk. Energies are from PBE.

Output
Mass density ... 10.29 g/cm3
ΔE to the lowest computed polymorph ... 0.168 eV/atom
Calculated formation energy ... 8.94 kcal/mol of atoms
Total moment ... 1.037 μB per atom

abc: 3.5443 5.6625 5.4164
angles: 90.00 90.00 90.00
With the nearest neighbours (Å) after each atom.
Element x y z (fractional)
Mn (0.0000, 0.5000, 0.5000)  4 Pb 3.24, 4 Tl 3.34, 2 Mn 3.54
Pb (0.0000, 0.0000, 0.0000)  4 Tl 3.24, 6 Pb 3.34-3.54
Pb (0.5000, 0.5000, 0.0000)  4 Mn 3.24, 6 Pb 3.34-3.54
Tl (0.5000, 0.0000, 0.5000)  4 Pb 3.24, 4 Mn 3.34, 2 Tl 3.54

Record 4
Here is a geometry-optimized Mn4TlPb structure from Alexandria via LeMat-Bulk. Energies are from PBE.

Output
Mass density ... 9.90 g/cm3
Calculated formation energy ... 12.75 kcal/mol of atoms
Total moment ... 2.101 μB per atom

abc: 5.3105 5.3105 5.3105
angles: 60.00 60.00 60.00
With the nearest neighbours (Å) after each atom.
Element x y z (fractional)
Mn (0.8751, 0.3750, 0.3750)  6 Mn 2.65-2.66
Mn (0.3750, 0.3750, 0.8751)  6 Mn 2.65-2.66
Mn (0.3750, 0.8751, 0.3750)  6 Mn 2.65-2.66
Mn (0.3750, 0.3750, 0.3750)  6 Mn 2.65-2.66
Tl (0.0000, 0.0000, 0.0000)  12 Mn 3.11, 4 Pb 3.25
Pb (0.7500, 0.7500, 0.7500)  12 Mn 3.11, 4 Tl 3.25

Record 5
Here is a geometry-optimized MnTl2Pb structure from Alexandria via LeMat-Bulk. Energies are from PBE.

Output
Mass density ... 10.21 g/cm3
ΔE to the lowest computed polymorph ... 0.142 eV/atom
Calculated formation energy ... 9.32 kcal/mol of atoms
Total moment ... 1.154 μB per atom

abc: 5.3645 5.3645 5.3645
angles: 60.00 60.00 60.00
With the nearest neighbours (Å) after each atom.
Element x y z (fractional)
Mn (0.5000, 0.5000, 0.5000)  4 Tl 3.29, 4 Pb 3.29
Pb (0.7500, 0.7500, 0.7500)  4 Tl 3.29, 4 Mn 3.29
Tl (0.0000, 0.0000, 0.0000)  4 Pb 3.29, 4 Tl 3.29
Tl (0.2500, 0.2500, 0.2500)  4 Tl 3.29, 4 Mn 3.29

Record 6
Here is a geometry-optimized MnTlPb2 structure from Alexandria via LeMat-Bulk. Energies are from PBE.

Output
Mass density ... 10.29 g/cm3
ΔE to the lowest computed polymorph ... 0.188 eV/atom
Calculated formation energy ... 9.40 kcal/mol of atoms
Total moment ... 1.006 μB per atom

abc: 5.3574 5.3574 5.3574
angles: 60.00 60.00 60.00
With the nearest neighbours (Å) after each atom.
Element x y z (fractional)
Pb (0.2500, 0.2500, 0.2500)  4 Tl 3.28, 4 Mn 3.28
Pb (0.7500, 0.7500, 0.7500)  4 Mn 3.28, 4 Tl 3.28
Tl (0.5000, 0.5000, 0.5000)  8 Pb 3.28
Mn (0.0000, 0.0000, 0.0000)  8 Pb 3.28

Record 7
Here is a geometry-optimized MnTlPb2 structure from Alexandria via LeMat-Bulk. Energies are from PBE.

Output
Mass density ... 10.44 g/cm3
ΔE to the lowest computed polymorph ... 0.147 eV/atom
Calculated formation energy ... 8.44 kcal/mol of atoms
Total moment ... 1.060 μB per atom

abc: 5.9876 5.9876 5.9876
angles: 134.60 134.60 66.15
With the nearest neighbours (Å) after each atom.
Element x y z (fractional)
Mn (0.7500, 0.2500, 0.5000)  8 Pb 3.27-3.41, 4 Tl 3.41
Pb (0.0000, 0.0000, 0.0000)  4 Tl 3.27, 4 Pb 3.41, 4 Mn 3.41
Pb (0.2500, 0.7500, 0.5000)  4 Mn 3.27, 4 Pb 3.41, 4 Tl 3.41
Tl (0.5000, 0.5000, 0.0000)  8 Pb 3.27-3.41, 4 Mn 3.41

Record 8
Here is a geometry-optimized MnTlVPb2 structure from Alexandria via LeMat-Bulk. Energies are from PBE.

Output
Mass density ... 8.08 g/cm3
ΔE to the lowest computed polymorph ... 0.000 eV/atom
Calculated formation energy ... 17.88 kcal/mol of atoms
Total moment ... 1.335 μB per atom

abc: 5.2922 5.3145 5.2922
angles: 90.00 90.00 90.00
With the nearest neighbours (Å) after each atom.
Element x y z (fractional)
Pb (0.0000, 0.0000, 0.5000)  2 V 2.65
Pb (0.5000, 0.0000, 0.0000)  2 V 2.65
Tl (0.0000, 0.5000, 0.0000)  2 V 2.66
Mn (0.5000, 0.5000, 0.5000)  4 Tl 3.74, 8 Pb 3.75
V (0.0000, 0.0000, 0.0000)  4 Pb 2.65, 2 Tl 2.66

Record 9
Here is a geometry-optimized MnTlVPb2 structure from Alexandria via LeMat-Bulk. Energies are from PBE.

Output
Mass density ... 7.48 g/cm3
ΔE to the lowest computed polymorph ... 1.204 eV/atom
Calculated formation energy ... 45.64 kcal/mol of atoms
Total moment ... 0.002 μB per atom

abc: 5.7223 4.9149 5.7223
angles: 90.00 90.00 90.00
With the nearest neighbours (Å) after each atom.
Element x y z (fractional)
Pb (0.0000, 0.0000, 0.5000)  2 Tl 2.86
Pb (0.5000, 0.0000, 0.0000)  2 Tl 2.86
Tl (0.0000, 0.0000, 0.0000)  2 Mn 2.46
Mn (0.0000, 0.5000, 0.0000)  2 Tl 2.46
V (0.5000, 0.5000, 0.5000)  8 Pb 3.77, 4 Mn 4.05

Record 10
Here is a geometry-optimized Tm6Mn2Pb structure from Alexandria via LeMat-Bulk. Energies are from PBE.

Output
Mass density ... 9.83 g/cm3
Calculated formation energy ... -2.89 kcal/mol of atoms
Total moment ... 0.207 μB per atom

abc: 8.3603 8.3603 8.3603
angles: 107.76 110.03 110.63
With the nearest neighbours (Å) after each atom.
Element x y z (fractional)
Tm (0.4766, 0.2875, 0.1891)  2 Mn 2.91
Tm (0.5234, 0.7125, 0.8109)  2 Mn 2.91
Tm (0.9016, 0.7125, 0.1891)  2 Mn 2.91
Tm (0.0984, 0.2875, 0.8109)  2 Mn 2.91
Tm (0.2242, 0.7675, 0.9917)  2 Mn 2.78-3.08
Tm (0.7758, 0.2325, 0.0083)  2 Mn 2.78-3.08
Tm (0.7758, 0.7675, 0.5433)  2 Mn 2.78-3.08
Tm (0.2242, 0.2325, 0.4567)  2 Mn 2.78-3.08
Tm (0.2945, 0.9817, 0.6871)  3 Mn 2.82-2.89
Tm (0.7055, 0.0183, 0.3129)  3 Mn 2.82-2.89
Tm (0.7055, 0.3926, 0.6871)  3 Mn 2.82-2.90
Tm (0.2945, 0.6074, 0.3129)  3 Mn 2.82-2.90
Mn (0.5000, 0.3937, 0.8937)  1 Mn 2.10
Mn (0.5000, 0.6063, 0.1063)  1 Mn 2.10
Mn (0.3878, 0.0000, 0.3878)  1 Mn 2.15
Mn (0.6122, 0.0000, 0.6122)  1 Mn 2.15
Pb (0.0000, 0.5000, 0.5000)  12 Tm 3.35-3.60
Pb (0.0000, 0.0000, 0.0000)  8 Tm 3.14-3.28

Record 11
Here is a geometry-optimized Mn3VPb structure from Alexandria via LeMat-Bulk. Energies are from PBE.

Output
Mass density ... 7.44 g/cm3
ΔE to the lowest computed polymorph ... 0.000 eV/atom
Calculated formation energy ... 19.71 kcal/mol of atoms
Total moment ... 1.558 μB per atom

abc: 4.5533 4.5533 4.5533
angles: 90.00 90.00 90.00
With the nearest neighbours (Å) after each atom.
Element x y z (fractional)
Pb (0.5000, 0.5000, 0.5000)  12 Mn 3.22
Mn (0.0000, 0.5000, 0.0000)  2 V 2.28
Mn (0.0000, 0.0000, 0.5000)  2 V 2.28
Mn (0.5000, 0.0000, 0.0000)  2 V 2.28
V (0.0000, 0.0000, 0.0000)  6 Mn 2.28

Record 12
Here is a geometry-optimized Mn2VPb structure from Alexandria via LeMat-Bulk. Energies are from PBE.

Output
Mass density ... 8.27 g/cm3
Calculated formation energy ... 18.02 kcal/mol of atoms
Total moment ... 1.316 μB per atom

abc: 3.9839 3.9839 9.7316
angles: 78.19 78.19 90.00
With the nearest neighbours (Å) after each atom.
Element x y z (fractional)
Pb (0.0000, 0.0000, 0.0000)  4 Mn 2.75, 4 V 2.82
Pb (0.7500, 0.2500, 0.5000)  4 Mn 2.75, 4 V 2.82
Mn (0.6078, 0.1250, 0.2500)  2 V 2.70, 4 Mn 2.72-2.92, 2 Pb 2.75
Mn (0.1422, 0.6250, 0.2500)  2 V 2.70, 4 Mn 2.72-2.92, 2 Pb 2.75
Mn (0.3750, 0.3922, 0.7500)  2 V 2.70, 4 Mn 2.72-2.92, 2 Pb 2.75
Mn (0.8750, 0.8578, 0.7500)  2 V 2.70, 4 Mn 2.72-2.92, 2 Pb 2.75
V (0.5000, 0.5000, 0.0000)  4 Mn 2.70, 4 Pb 2.82
V (0.2500, 0.7500, 0.5000)  4 Mn 2.70, 4 Pb 2.82

Record 13
Here is a geometry-optimized Mn2Pb2W structure from Alexandria via LeMat-Bulk. Energies are from PBE.

Output
Mass density ... 11.75 g/cm3
Calculated formation energy ... 24.05 kcal/mol of atoms
Total moment ... 1.532 μB per atom

abc: 3.5623 3.5623 8.2793
angles: 77.58 77.58 90.00
With the nearest neighbours (Å) after each atom.
Element x y z (fractional)
Pb (0.3969, 0.3969, 0.2061)  4 Mn 2.92, 4 W 3.00, 1 Pb 3.25
Pb (0.6031, 0.6031, 0.7939)  4 Mn 2.92, 4 W 3.00, 1 Pb 3.25
Mn (0.7500, 0.2500, 0.5000)  4 Mn 2.52
Mn (0.2500, 0.7500, 0.5000)  4 Mn 2.52
W (0.0000, 0.0000, 0.0000)  8 Pb 3.00

Record 14
Here is a geometry-optimized Mn2PbW structure from Alexandria via LeMat-Bulk. Energies are from PBE.

Output
Mass density ... 12.69 g/cm3
Calculated formation energy ... 9.74 kcal/mol of atoms
Total moment ... 1.055 μB per atom

abc: 3.2823 3.2823 6.0860
angles: 90.00 90.00 90.01
With the nearest neighbours (Å) after each atom.
Element x y z (fractional)
Mn (0.0000, 0.0000, 0.9550)  1 Mn 2.49, 4 W 2.63-2.64
Mn (0.0000, 0.0000, 0.5450)  1 Mn 2.49, 4 W 2.63-2.64
Pb (0.5000, 0.5000, 0.2500)  8 Mn 2.93, 2 W 3.04, 4 Pb 3.28
W (0.5000, 0.5000, 0.7500)  8 Mn 2.63-2.64